No. 1
VASP calculation (meta-GGA SCAN) on a PBEsol-optimized structure of CuSiIN2.

```
CuSiIN2
1.0
3.513 0.000 0.000
0.000 3.513 0.000
0.000 0.000 6.526
Cu Si I N
1 1 1 2
Cartesian
0.000 0.000 0.000 Cu
1.756 1.756 3.263 Si
1.756 1.756 0.000 I
0.000 1.756 3.263 N
1.756 0.000 3.263 N
```

Values from the calculation:
Its total energy is -15.513 eV per atom. The calculation puts the total magnetization at 0.00 μB/f.u. The calculation puts the formation energy without anion corrections at 0.5947 eV per atom. As for the space-group type: No. 123. As for the crystal system: tetragonal.

No. 2
VASP calculation (meta-GGA SCAN) on a PBEsol-optimized structure of Tl2HgAs.

```
Tl2HgAs
1.0
0.000 3.686 3.686
3.686 0.000 3.686
3.686 3.686 0.000
Tl Hg As
2 1 1
Cartesian
1.843 1.843 1.843 Tl
5.529 5.529 5.529 Tl
0.000 0.000 0.000 Hg
3.686 3.686 3.686 As
```

Values from the calculation:
Its total energy is -58.172 eV per atom. As for the formation energy: 0.39 eV per formula unit. The calculation puts the total magnetization at 0.00 μB/f.u. As for the space-group type: No. 225. As for the crystal system: cubic.

No. 3
VASP calculation (meta-GGA SCAN) on a PBEsol-optimized structure of NaSb2TeW.

```
NaSb2TeW
1.0
5.227 0.000 0.000
0.000 5.227 0.000
0.000 0.000 5.478
Na Sb Te W
1 2 1 1
Cartesian
0.000 0.000 0.000 Na
0.000 2.614 2.739 Sb
2.614 0.000 2.739 Sb
2.614 2.614 0.000 Te
2.614 2.614 2.739 W
```

Values from the calculation:
Its total energy is -36.718 eV per atom. The calculation puts the total magnetization at 0.00 μB/f.u. The calculation puts the formation energy without anion corrections at 0.4169 eV per atom. As for the space-group type: No. 123. As for the crystal system: tetragonal.

No. 4
VASP calculation (meta-GGA SCAN) on a PBEsol-optimized structure of CaTe2Mo.

```
CaTe2Mo
1.0
2.105 1.215 6.573
-2.105 1.215 6.573
0.000 -2.431 6.573
Ca Te Mo
1 2 1
Cartesian
0.000 0.000 0.000 Ca
0.000 0.000 4.672 Te
0.000 0.000 15.048 Te
0.000 0.000 9.860 Mo
```

Values from the calculation:
Its total energy is -30.299 eV per atom. The calculation puts the total magnetization at 2.00 μB/f.u. The calculation puts the formation energy without anion corrections at -0.5363 eV per atom. As for the space-group type: No. 166. As for the crystal system: trigonal.

No. 5
VASP calculation (meta-GGA SCAN) on a PBEsol-optimized structure of CdHg2Pb.

```
CdHg2Pb
1.0
-2.242 2.242 4.790
2.242 -2.242 4.790
2.242 2.242 -4.790
Cd Hg Pb
1 2 1
Cartesian
0.000 0.000 0.000 Cd
0.000 0.000 4.790 Hg
0.000 2.242 2.395 Hg
2.242 0.000 2.395 Pb
```

Values from the calculation:
Its total energy is -60.571 eV per atom. As for the formation energy: 0.24 eV per formula unit. The calculation puts the total magnetization at 0.00 μB/f.u. As for the space-group type: No. 119. As for the crystal system: tetragonal.

No. 6
VASP calculation (meta-GGA SCAN) on a PBEsol-optimized structure of LiNbN3.

```
LiNbN3
1.0
4.085 0.000 0.000
0.000 4.085 0.000
0.000 0.000 4.085
Li Nb N
1 1 3
Cartesian
0.000 0.000 0.000 Li
2.042 2.042 2.042 Nb
0.000 2.042 2.042 N
2.042 0.000 2.042 N
2.042 2.042 0.000 N
```

Values from the calculation:
Its total energy is -12.458 eV per atom. The calculation puts the total magnetization at 3.00 μB/f.u. The calculation puts the formation energy without anion corrections at 0.2206 eV per atom. As for the space-group type: No. 221. As for the crystal system: cubic.